(1)
Density functional theory data (PBE) for crystalline HfZnCoCu at its relaxed geometry.

Unit cell a=4.327 b=4.327 c=4.327 alpha=60.00 beta=60.00 gamma=60.00
Atoms (fractional coordinates):
Hf 0.000 0.000 0.000
Zn 0.250 0.250 0.250
Co 0.500 0.500 0.500
Cu 0.750 0.750 0.750

Output
Its energy of formation is -19 meV/atom. As for the energy above the lowest structure with this stoichiometry: 0.167 eV/atom.


(2)
Density functional theory data (PBE) for crystalline InPd3Pb5 at its relaxed geometry.

Unit cell a=5.698 b=5.698 c=8.227 alpha=90.00 beta=90.00 gamma=120.00
Atoms (fractional coordinates):
In 0.000 0.000 0.000
Pd 0.000 0.500 0.500
Pd 0.500 0.000 0.500
Pd 0.500 0.500 0.500
Pb 0.000 0.000 0.500
Pb 0.333 0.667 0.204
Pb 0.333 0.667 0.796
Pb 0.667 0.333 0.204
Pb 0.667 0.333 0.796


(3)
Density functional theory data (PBE) for crystalline TbC at its relaxed geometry.

Unit cell a=3.548 b=3.548 c=3.054 alpha=90.00 beta=90.00 gamma=120.00
Atoms (fractional coordinates):
Tb 0.000 0.000 0.000
C 0.333 0.667 0.500


(4)
Density functional theory data (PBE) for crystalline Pr2ErZn3Ir2Pt at its relaxed geometry.

Unit cell a=3.992 b=7.266 c=7.266 alpha=119.56 beta=90.00 gamma=90.00
Atoms (fractional coordinates):
Pr 0.000 0.207 0.793
Pr 0.000 0.793 0.207
Er 0.000 0.614 0.614
Zn 0.500 0.213 0.455
Zn 0.500 0.455 0.213
Zn 0.500 0.958 0.958
Ir 0.500 0.546 0.862
Ir 0.500 0.862 0.546
Pt 0.000 0.215 0.215

Output
Its energy of formation is -716 meV/atom.


(5)
Density functional theory data (PBE) for crystalline Pr2Nd2CI4Cl at its relaxed geometry.

Unit cell a=9.940 b=9.940 c=8.528 alpha=101.96 beta=101.96 gamma=23.43
Atoms (fractional coordinates):
Pr 0.134 0.134 0.068
Pr 0.866 0.866 0.932
Nd 0.499 0.499 0.208
Nd 0.501 0.501 0.792
C 0.000 0.000 0.000
I 0.330 0.330 0.192
I 0.337 0.337 0.642
I 0.663 0.663 0.358
I 0.670 0.670 0.808
Cl 0.000 0.000 0.500

Output
As for the energy above the lowest structure with this stoichiometry: 0.007 eV/atom.


(6)
Density functional theory data (PBE) for crystalline RbFeSnS3 at its relaxed geometry.

Unit cell a=7.610 b=7.610 c=10.999 alpha=90.00 beta=90.00 gamma=149.22
Atoms (fractional coordinates):
Rb 0.234 0.766 0.750
Rb 0.766 0.234 0.250
Fe 0.046 0.954 0.250
Fe 0.954 0.046 0.750
Sn 0.500 0.500 0.000
Sn 0.500 0.500 0.500
S 0.121 0.879 0.074
S 0.121 0.879 0.426
S 0.458 0.542 0.250
S 0.542 0.458 0.750
S 0.879 0.121 0.574
S 0.879 0.121 0.926


Computed values of total energy (unit: eV per atom) for the preceding records, in sequence: -5.53, -4.21, -6.47, -5.35, -4.84, -4.87.